Crystalline TaSbI2Cl at its relaxed geometry, computed with PBE.

The structure in CIF format:
```
data_TaSbI2Cl
_chemical_formula_sum 'Ta1 Sb1 I2 Cl1'
_space_group_name_H-M_alt 'P 4/m m m'
_space_group_IT_number 123
_space_group_name_Hall '-P 4 2'
_cell_length_a 5.401
_cell_length_b 5.401
_cell_length_c 5.526
_cell_angle_alpha 90.00
_cell_angle_beta 90.00
_cell_angle_gamma 90.00
loop_
_atom_site_label
_atom_site_type_symbol
_atom_site_fract_x
_atom_site_fract_y
_atom_site_fract_z
Ta1 Ta 0.000 0.000 0.000
Sb1 Sb 0.500 0.500 0.000
I1 I 0.000 0.500 0.500
Cl1 Cl 0.500 0.500 0.500
```

Energy relative to the elements, uncorrected ... 711 kJ/mol of formula units
E ... -2.71 eV/atom